w | Al2TcRu: PBEsol geometry, meta-GGA SCAN.

The space group is F-43m (No. 216) and the conventional cell measures 6.049, 6.049 and 6.049 Å, with angles of 90.00, 90.00 and 90.00 degrees. The asymmetric unit holds Al at (0.000, 0.000, 0.000), Al at (0.250, 0.250, 0.250), Tc at (0.000, 0.000, 0.500) and Ru at (0.250, 0.250, 0.750).

As for the spin magnetization: 0.024 μB/cell.

***

x | Al2TcRu: PBEsol geometry, meta-GGA SCAN.

The space group is R3m (No. 160, hexagonal axes) and the conventional cell measures 2.7846, 2.7846 and 25.6694 Å, with angles of 90.00, 90.00 and 120.00 degrees. The asymmetric unit holds Al at (0.0000, 0.0000, 0.0000), Al at (0.0000, 0.0000, 0.2423), Tc at (0.0000, 0.0000, 0.4926) and Ru at (0.0000, 0.0000, 0.7470).

As for the spin magnetization: 0.001 μB/cell.

***

Which of them is the most stable, and which is the least stable? w and x, in that order.

***

w | AlTeRu2: PBEsol geometry, meta-GGA SCAN.

The space group is F-43m (No. 216) and the conventional cell measures 6.337, 6.337 and 6.337 Å, with angles of 90.00, 90.00 and 90.00 degrees. The asymmetric unit holds Al at (0.000, 0.000, 0.000), Te at (0.250, 0.250, 0.250), Ru at (0.000, 0.000, 0.500) and Ru at (0.250, 0.250, 0.750).

As for the spin magnetization: 6.551 μB/cell.

***

x | AlTeRu2: PBEsol geometry, meta-GGA SCAN.

The space group is Imm2 (No. 44) and the conventional cell measures 3.109, 4.257 and 9.508 Å, with angles of 90.00, 90.00 and 90.00 degrees. The asymmetric unit holds Al at (0.000, 0.000, 0.000), Te at (0.000, 0.500, 0.773), Ru at (0.000, 0.000, 0.499) and Ru at (0.000, 0.500, 0.275).

As for the spin magnetization: 0.000 μB/cell.

***

Which of them is the most stable, and which is the least stable? x and w, in that order.

***

w | AlTl2Ru: PBEsol geometry, meta-GGA SCAN.

The space group is Amm2 (No. 38) and the conventional cell measures 4.146, 3.662 and 10.282 Å, with angles of 90.00, 90.00 and 90.00 degrees. The asymmetric unit holds Al at (0.000, 0.000, 0.000), Tl at (0.000, 0.000, 0.280), Tl at (0.500, 0.000, 0.594) and Ru at (0.500, 0.000, 0.871).

As for the spin magnetization: 0.000 μB/cell.

***

x | AlTl2Ru: PBEsol geometry, meta-GGA SCAN.

The space group is I4/mmm (No. 139) and the conventional cell measures 4.184, 4.184 and 8.440 Å, with angles of 90.00, 90.00 and 90.00 degrees. The asymmetric unit holds Al at (0.000, 0.000, 0.000), Tl at (0.000, 0.500, 0.250) and Ru at (0.000, 0.000, 0.500).

As for the spin magnetization: 0.000 μB/cell.

***

Which of them is the most stable, and which is the least stable? w and x, in that order.

***

w | AlSeS2: PBEsol geometry, meta-GGA SCAN.

The space group is Fm-3m (No. 225) and the conventional cell measures 6.360, 6.360 and 6.360 Å, with angles of 90.00, 90.00 and 90.00 degrees. The asymmetric unit holds Al at (0.000, 0.000, 0.000), Se at (0.000, 0.000, 0.500) and S at (0.250, 0.250, 0.250).

As for the spin magnetization: 0.023 μB/cell.

***

x | AlSeS2: PBEsol geometry, meta-GGA SCAN.

The space group is R-3m (No. 166, hexagonal axes) and the conventional cell measures 3.4620, 3.4620 and 22.4630 Å, with angles of 90.00, 90.00 and 120.00 degrees. The asymmetric unit holds Al at (0.0000, 0.0000, 0.0000), Se at (0.0000, 0.0000, 0.5000) and S at (0.0000, 0.0000, 0.3917).

As for the spin magnetization: 0.005 μB/cell.

***

Which of them is the most stable, and which is the least stable? x and w, in that order.

***

w | AlTeS2: PBEsol geometry, meta-GGA SCAN.

The space group is R-3m (No. 166, hexagonal axes) and the conventional cell measures 3.5177, 3.5177 and 23.6320 Å, with angles of 90.00, 90.00 and 120.00 degrees. The asymmetric unit holds Al at (0.0000, 0.0000, 0.0000), Te at (0.0000, 0.0000, 0.5000) and S at (0.0000, 0.0000, 0.3880).

As for the spin magnetization: 0.008 μB/cell.

***

x | AlTeS2: PBEsol geometry, meta-GGA SCAN.

The space group is I-42d (No. 122) and the conventional cell measures 6.991, 6.991 and 6.708 Å, with angles of 90.00, 90.00 and 90.00 degrees. The asymmetric unit holds Al at (0.000, 0.000, 0.000), Te at (0.000, 0.000, 0.500) and S at (0.180, 0.250, 0.125).

As for the spin magnetization: 0.000 μB/cell.

***

Which of them is the most stable, and which is the least stable? w and x, in that order.

***

w | Al2SbSe: PBEsol geometry, meta-GGA SCAN.

The space group is R-3m (No. 166, hexagonal axes) and the conventional cell measures 3.9202, 3.9202 and 19.2591 Å, with angles of 90.00, 90.00 and 120.00 degrees. The asymmetric unit holds Al at (0.0000, 0.0000, 0.2489), Sb at (0.0000, 0.0000, 0.0000) and Se at (0.0000, 0.0000, 0.5000).

As for the spin magnetization: 0.000 μB/cell.

***

x | Al2SbSe: PBEsol geometry, meta-GGA SCAN.

The space group is I4/mmm (No. 139) and the conventional cell measures 5.593, 5.593 and 5.612 Å, with angles of 90.00, 90.00 and 90.00 degrees. The asymmetric unit holds Al at (0.000, 0.500, 0.000), Sb at (0.000, 0.000, 0.000) and Se at (0.000, 0.000, 0.500).

As for the spin magnetization: 0.000 μB/cell.

***

Which of them is the most stable, and which is the least stable? w and x, in that order.

***

w | Ta2AlSb: PBEsol geometry, meta-GGA SCAN.

The space group is C2/m (No. 12) and the conventional cell measures 5.871, 8.681 and 2.973 Å, with angles of 90.00, 107.66 and 90.00 degrees. The asymmetric unit holds Ta at (0.250, 0.250, 0.000), Al at (0.000, 0.000, 0.500) and Sb at (0.000, 0.500, 0.500).

As for the spin magnetization: 0.000 μB/cell.

***

x | Ta2AlSb: PBEsol geometry, meta-GGA SCAN.

The space group is P4/mmm (No. 123) and the conventional cell measures 3.221, 3.221 and 6.933 Å, with angles of 90.00, 90.00 and 90.00 degrees. The asymmetric unit holds Ta at (0.000, 0.000, 0.250), Al at (0.500, 0.500, 0.000) and Sb at (0.500, 0.500, 0.500).

As for the spin magnetization: 0.000 μB/cell.

***

Which of them is the most stable, and which is the least stable? w and x, in that order.

***

w | Ta2AlSb: PBEsol geometry, meta-GGA SCAN.

The space group is R3m (No. 160, hexagonal axes) and the conventional cell measures 3.0470, 3.0470 and 28.2735 Å, with angles of 90.00, 90.00 and 120.00 degrees. The asymmetric unit holds Ta at (0.0000, 0.0000, 0.0000), Ta at (0.0000, 0.0000, 0.2485), Al at (0.0000, 0.0000, 0.5060) and Sb at (0.0000, 0.0000, 0.7491).

As for the spin magnetization: 0.000 μB/cell.

***

x | Ta2AlSb: PBEsol geometry, meta-GGA SCAN.

The space group is F-43m (No. 216) and the conventional cell measures 6.598, 6.598 and 6.598 Å, with angles of 90.00, 90.00 and 90.00 degrees. The asymmetric unit holds Ta at (0.000, 0.000, 0.000), Ta at (0.250, 0.250, 0.250), Al at (0.250, 0.250, 0.750) and Sb at (0.000, 0.000, 0.500).

As for the spin magnetization: 0.000 μB/cell.

***

Which of them is the most stable, and which is the least stable? w and x, in that order.